Computed, not measured: a relaxed B2C crystal at the PBE level of DFT.

* Fermi-level density of states: 0.144 states/eV/atom
* energy of formation from the pure elements: 0.363 eV/atom
* total magnetic moment: 0.0 Bohr magnetons per cell
* SG: P3m1
* excess energy over the best structure of this formula in the dataset: 178 meV per atom
* calculated volume: 95.4 Å³ per cell

Geometry as POSCAR:
```
B2C
1.0
-2.291 -1.090 0.733
2.276 -0.939 0.958
-0.930 10.100 12.111
B C
8 4
Direct
0.000 0.000 0.838
0.333 0.667 0.903
0.667 0.333 0.666
0.000 0.000 0.732
0.333 0.667 0.308
0.333 0.667 0.559
0.667 0.333 0.136
0.000 0.000 0.201
0.000 0.000 0.300
0.667 0.333 0.566
0.333 0.667 0.003
0.667 0.333 0.037
```